# 1
First-principles (GGA-PBE) data for a geometry-optimized Tl7HgSb2 structure, as listed in the Alexandria database.

The formation energy from raw total energies comes out at 129 meV per atom. The value obtained for the density of states at the Fermi level is 0.236 states/eV/atom.

The space group is Cmmm (No. 65) and the conventional cell measures 9.394, 16.077 and 5.346 Å, with angles of 90.00, 90.00 and 90.00 degrees. The inequivalent atoms are Tl at (0.000, 0.000, 0.000), Tl at (0.000, 0.297, 0.500), Tl at (0.194, 0.379, 0.000), Hg at (0.000, 0.500, 0.500) and Sb at (0.000, 0.202, 0.000).

# 2
First-principles (GGA-PBE) data for a geometry-optimized Tl3HgSb2 structure, as listed in the Alexandria database.

The formation energy from raw total energies comes out at 42 meV per atom. The value obtained for the density of states at the Fermi level is 0.166 states/eV/atom.

The space group is P2_1/c (No. 14) and the conventional cell measures 8.124, 9.875 and 11.447 Å, with angles of 90.00, 114.27 and 90.00 degrees. The inequivalent atoms are Tl at (0.217, 0.104, 0.476), Tl at (0.220, 0.013, 0.915), Tl at (0.235, 0.746, 0.170), Hg at (0.252, 0.157, 0.208), Sb at (0.066, 0.695, 0.870) and Sb at (0.473, 0.022, 0.764).

# 3
First-principles (GGA-PBE) data for a geometry-optimized Tl3Hg4Sb structure, as listed in the Alexandria database.

The formation energy from raw total energies comes out at 25 meV per atom. The value obtained for the density of states at the Fermi level is 0.326 states/eV/atom.

The space group is Immm (No. 71) and the conventional cell measures 3.350, 11.386 and 12.254 Å, with angles of 90.00, 90.00 and 90.00 degrees. The inequivalent atoms are Tl at (0.000, 0.000, 0.000), Tl at (0.000, 0.500, 0.232), Hg at (0.000, 0.257, 0.372) and Sb at (0.000, 0.000, 0.500).

# 4
First-principles (GGA-PBE) data for a geometry-optimized TlHg2Sb structure, as listed in the Alexandria database.

The formation energy from raw total energies comes out at 67 meV per atom. The value obtained for the density of states at the Fermi level is 0.313 states/eV/atom.

The space group is Imm2 (No. 44) and the conventional cell measures 3.783, 4.743 and 13.591 Å, with angles of 90.00, 90.00 and 90.00 degrees. The inequivalent atoms are Tl at (0.000, 0.000, 0.000), Hg at (0.000, 0.000, 0.411), Hg at (0.000, 0.500, 0.205) and Sb at (0.000, 0.500, 0.706).

# 5
First-principles (GGA-PBE) data for a geometry-optimized TlHg5Sb structure, as listed in the Alexandria database.

The formation energy from raw total energies comes out at 69 meV per atom. The value obtained for the density of states at the Fermi level is 0.195 states/eV/atom.

The space group is Imm2 (No. 44) and the conventional cell measures 6.100, 6.853 and 10.160 Å, with angles of 90.00, 90.00 and 90.00 degrees. The inequivalent atoms are Tl at (0.000, 0.000, 0.000), Hg at (0.000, 0.211, 0.711), Hg at (0.000, 0.500, 0.188), Hg at (0.242, 0.000, 0.401) and Sb at (0.000, 0.500, 0.503).

# 6
First-principles (GGA-PBE) data for a geometry-optimized Tl14HgSb structure, as listed in the Alexandria database.

The formation energy from raw total energies comes out at 7 meV per atom. The value obtained for the density of states at the Fermi level is 0.492 states/eV/atom.

The space group is Amm2 (No. 38) and the conventional cell measures 11.117, 7.848 and 11.333 Å, with angles of 90.00, 90.00 and 90.00 degrees. The inequivalent atoms are Tl at (0.000, 0.000, 0.000), Tl at (0.000, 0.000, 0.480), Tl at (0.000, 0.229, 0.741), Tl at (0.235, 0.000, 0.249), Tl at (0.261, 0.247, 0.996), Tl at (0.265, 0.000, 0.743), Tl at (0.500, 0.220, 0.209), Hg at (0.500, 0.000, 0.468) and Sb at (0.500, 0.000, 0.933).

# 7
First-principles (GGA-PBE) data for a geometry-optimized Tl12Hg3Sb5 structure, as listed in the Alexandria database.

The formation energy from raw total energies comes out at 129 meV per atom. The value obtained for the density of states at the Fermi level is 0.541 states/eV/atom.

The space group is Ia-3d (No. 230) and the conventional cell measures 18.142, 18.142 and 18.142 Å, with angles of 90.00, 90.00 and 90.00 degrees. The inequivalent atoms are Tl at (0.023, 0.081, 0.649), Hg at (0.000, 0.250, 0.125), Sb at (0.000, 0.000, 0.000) and Sb at (0.000, 0.250, 0.375).

# 8
First-principles (GGA-PBE) data for a geometry-optimized TlHg2Sb structure, as listed in the Alexandria database.

The formation energy from raw total energies comes out at 52 meV per atom. The value obtained for the density of states at the Fermi level is 0.337 states/eV/atom.

The space group is Pmm2 (No. 25) and the conventional cell measures 3.458, 5.661 and 6.095 Å, with angles of 90.00, 90.00 and 90.00 degrees. The inequivalent atoms are Tl at (0.000, 0.000, 0.000), Hg at (0.000, 0.000, 0.500), Hg at (0.500, 0.500, 0.492) and Sb at (0.500, 0.500, 0.991).

# 9
First-principles (GGA-PBE) data for a geometry-optimized Tl5Hg4Sb2 structure, as listed in the Alexandria database.

The formation energy from raw total energies comes out at 16 meV per atom. The value obtained for the density of states at the Fermi level is 0.403 states/eV/atom.

The space group is C2/m (No. 12) and the conventional cell measures 18.420, 5.384 and 6.528 Å, with angles of 90.00, 91.45 and 90.00 degrees. The inequivalent atoms are Tl at (0.000, 0.000, 0.000), Tl at (0.128, 0.500, 0.192), Tl at (0.239, 0.500, 0.668), Hg at (0.055, 0.500, 0.724), Hg at (0.180, 0.000, 0.889) and Sb at (0.080, 0.000, 0.480).

# 10
First-principles (GGA-PBE) data for a geometry-optimized Tl4Hg7Sb structure, as listed in the Alexandria database.

The formation energy from raw total energies comes out at 32 meV per atom. The value obtained for the density of states at the Fermi level is 0.461 states/eV/atom.

The space group is C2/m (No. 12) and the conventional cell measures 16.451, 5.706 and 9.084 Å, with angles of 90.00, 122.54 and 90.00 degrees. The inequivalent atoms are Tl at (0.076, 0.000, 0.240), Tl at (0.238, 0.000, 0.744), Hg at (0.000, 0.000, 0.500), Hg at (0.052, 0.500, 0.889), Hg at (0.173, 0.000, 0.012), Hg at (0.189, 0.500, 0.518) and Sb at (0.000, 0.500, 0.500).

# 11
First-principles (GGA-PBE) data for a geometry-optimized Tl3Hg6Sb2 structure, as listed in the Alexandria database.

The formation energy from raw total energies comes out at 32 meV per atom. The value obtained for the density of states at the Fermi level is 0.376 states/eV/atom.

The space group is P-1 (No. 2) and the conventional cell measures 4.884, 6.528 and 10.880 Å, with angles of 87.95, 89.86 and 69.30 degrees. The inequivalent atoms are Tl at (0.000, 0.000, 0.000), Tl at (0.147, 0.702, 0.604), Hg at (0.283, 0.429, 0.904), Hg at (0.396, 0.211, 0.167), Hg at (0.431, 0.123, 0.613) and Sb at (0.158, 0.692, 0.285).

# 12
First-principles (GGA-PBE) data for a geometry-optimized TlHg2Sb structure, as listed in the Alexandria database.

The formation energy from raw total energies comes out at 98 meV per atom. The value obtained for the density of states at the Fermi level is 0.731 states/eV/atom.

The space group is R3m (No. 160, hexagonal axes) and the conventional cell measures 3.4088, 3.4088 and 34.7928 Å, with angles of 90.00, 90.00 and 120.00 degrees. The inequivalent atoms are Tl at (0.0000, 0.0000, 0.0000), Hg at (0.0000, 0.0000, 0.2457), Hg at (0.0000, 0.0000, 0.4973) and Sb at (0.0000, 0.0000, 0.7463).

Question: What is the formation energy from raw total energies in the seventh record?
Answer: 129 meV per atom

Question: Look up the formation energy from raw total energies of the fifth one.
Answer: 69 meV per atom

What did the eleventh record say?
First-principles (GGA-PBE) data for a geometry-optimized Tl3Hg6Sb2 structure, as listed in the Alexandria database.

The formation energy from raw total energies comes out at 32 meV per atom. The value obtained for the density of states at the Fermi level is 0.376 states/eV/atom.

The space group is P-1 (No. 2) and the conventional cell measures 4.884, 6.528 and 10.880 Å, with angles of 87.95, 89.86 and 69.30 degrees. The inequivalent atoms are Tl at (0.000, 0.000, 0.000), Tl at (0.147, 0.702, 0.604), Hg at (0.283, 0.429, 0.904), Hg at (0.396, 0.211, 0.167), Hg at (0.431, 0.123, 0.613) and Sb at (0.158, 0.692, 0.285).

Question: formation energy from raw total energies of number 1 (Tl7HgSb2)?
Answer: 129 meV per atom